VASP calculation (PBE-GGA) on CsHg2P2O7 after structural relaxation.

abc: 5.762 5.762 8.995
angles: 71.32 71.32 60.00
Positions (direct):
O1 0.948 0.650 0.244
P1 0.064 0.064 0.809
P2 0.936 0.936 0.191
Hg1 0.292 0.292 0.123
O2 0.841 0.350 0.756
O3 0.052 0.841 0.756
O4 0.650 0.159 0.244
O5 0.159 0.948 0.244
Cs1 0.500 0.500 0.500
Hg2 0.708 0.708 0.877
O6 0.350 0.052 0.756
O7 0.000 0.000 0.000

## Properties
* total DFT energy (no corrections): -66.1 eV per cell
* DOS at the Fermi energy: 2.5 states/eV/cell
* E_form (uncorrected): -1590.9 meV/atom
* SG: R32 (155)